Density functional theory data (PBE) for a geometry-optimized PmCo2CuH8 structure.

Output
Calculated volume, Å³ per atom: 7.7
Density of states at the Fermi level, states/eV/atom: 0.149
Total energy, eV per formula unit: -51.97
Magnetic moment, μB per atom: 0.000

Cell: 4.4866 4.4866 5.8900 Å, 67.61 67.61 60.00°
Closest atoms and distances in Å follow each position.
Fractional positions:
Pm  0.5000  0.5000  0.5000  6 H 2.33
Co  0.3007  0.3007  0.0978  7 H 1.60-1.75
Co  0.6993  0.6993  0.9022  7 H 1.60-1.75
Cu  0.0000  0.0000  0.0000  6 H 1.78
H  0.1997  0.1997  0.4010  1 Co 1.60
H  0.6181  0.3434  0.1309  2 Co 1.62-1.75, 1 Cu 1.78
H  0.8003  0.8003  0.5990  1 Co 1.60
H  0.9075  0.6181  0.1309  2 Co 1.62-1.75, 1 Cu 1.78
H  0.0925  0.3819  0.8691  2 Co 1.62-1.75, 1 Cu 1.78
H  0.3434  0.9075  0.1309  2 Co 1.62-1.75, 1 Cu 1.78
H  0.6566  0.0925  0.8691  2 Co 1.62-1.75, 1 Cu 1.78
H  0.3819  0.6566  0.8691  2 Co 1.62-1.75, 1 Cu 1.78